Entry 1:
Here is Dy8Ho2Sn after structural relaxation from Alexandria via LeMat-Bulk. Energies are from PBE.

```
Dy8Ho2Sn
1.0
-4.144 -1.259 3.419
0.580 -6.184 -1.574
8.446 -1.409 5.265
Dy Ho Sn
8 2 1
direct
0.421 0.599 0.843 Dy
0.662 0.877 0.324 Dy
0.845 0.804 0.690 Dy
0.956 0.264 0.912 Dy
0.155 0.196 0.310 Dy
0.338 0.123 0.676 Dy
0.579 0.401 0.157 Dy
0.044 0.736 0.088 Dy
0.757 0.337 0.514 Ho
0.243 0.663 0.486 Ho
0.500 0.000 0.000 Sn
```

## Properties
Final energy: -51.1 eV per cell
Space-group type: C2/m (12)


Entry 2:
Here is Dy12Ho5Sn3 after structural relaxation from Alexandria via LeMat-Bulk. Energies are from PBE.

```
Dy12Ho5Sn3
1.0
15.862 0.000 0.000
-5.287 14.954 0.000
-5.287 -7.477 12.951
Sn Ho Dy
12 20 48
direct
0.750 0.375 0.125 Sn
0.875 0.750 0.125 Sn
0.375 0.750 0.625 Sn
0.250 0.125 0.375 Sn
0.875 0.125 0.250 Sn
0.375 0.625 0.250 Sn
0.625 0.375 0.750 Sn
0.125 0.875 0.750 Sn
0.750 0.875 0.625 Sn
0.625 0.250 0.375 Sn
0.125 0.250 0.875 Sn
0.250 0.625 0.875 Sn
0.125 0.375 0.250 Ho
0.000 0.500 0.000 Ho
0.000 0.000 0.000 Ho
0.375 0.250 0.125 Ho
0.500 0.000 0.500 Ho
0.500 0.500 0.000 Ho
0.125 0.750 0.375 Ho
0.750 0.125 0.875 Ho
0.750 0.625 0.375 Ho
0.375 0.125 0.750 Ho
0.625 0.875 0.250 Ho
0.500 0.500 0.500 Ho
0.500 0.000 0.000 Ho
0.000 0.000 0.500 Ho
0.250 0.375 0.625 Ho
0.250 0.875 0.125 Ho
0.000 0.500 0.500 Ho
0.875 0.250 0.625 Ho
0.625 0.750 0.875 Ho
0.875 0.625 0.750 Ho
0.732 0.147 0.077 Dy
0.345 0.577 0.430 Dy
0.923 0.353 0.268 Dy
0.577 0.232 0.147 Dy
0.585 0.732 0.655 Dy
0.923 0.570 0.155 Dy
0.345 0.768 0.415 Dy
0.070 0.915 0.147 Dy
0.570 0.923 0.655 Dy
0.732 0.585 0.155 Dy
0.768 0.423 0.353 Dy
0.845 0.930 0.077 Dy
0.147 0.732 0.577 Dy
0.353 0.430 0.085 Dy
0.085 0.930 0.353 Dy
0.415 0.147 0.570 Dy
0.085 0.155 0.232 Dy
0.423 0.655 0.070 Dy
0.845 0.915 0.268 Dy
0.147 0.415 0.070 Dy
0.353 0.923 0.768 Dy
0.570 0.647 0.415 Dy
0.930 0.845 0.577 Dy
0.768 0.345 0.915 Dy
0.430 0.353 0.585 Dy
0.070 0.155 0.423 Dy
0.232 0.655 0.085 Dy
0.155 0.085 0.732 Dy
0.647 0.077 0.232 Dy
0.853 0.585 0.930 Dy
0.577 0.345 0.930 Dy
0.585 0.853 0.430 Dy
0.915 0.845 0.768 Dy
0.915 0.070 0.647 Dy
0.853 0.268 0.423 Dy
0.155 0.070 0.923 Dy
0.647 0.570 0.915 Dy
0.430 0.077 0.345 Dy
0.268 0.415 0.845 Dy
0.232 0.577 0.647 Dy
0.930 0.085 0.853 Dy
0.655 0.232 0.585 Dy
0.423 0.768 0.853 Dy
0.077 0.430 0.845 Dy
0.415 0.268 0.345 Dy
0.077 0.647 0.732 Dy
0.655 0.423 0.570 Dy
0.268 0.853 0.923 Dy
```

## Properties
Final energy: -303.6 eV per cell
Space-group type: Ia-3d (230)


Entry 3:
Here is Dy3Ho4Sn4 after structural relaxation from Alexandria via LeMat-Bulk. Energies are from PBE.

```
Dy3Ho4Sn4
1.0
-1.192 3.739 0.778
-1.370 -2.279 8.855
9.503 1.508 -2.968
Dy Ho Sn
3 4 4
direct
0.101 0.101 0.203 Dy
0.899 0.899 0.797 Dy
0.000 0.500 0.000 Dy
0.331 0.141 0.662 Ho
0.669 0.480 0.338 Ho
0.669 0.859 0.338 Ho
0.331 0.520 0.662 Ho
0.262 0.762 0.524 Sn
0.738 0.238 0.476 Sn
0.500 0.785 0.000 Sn
0.500 0.215 0.000 Sn
```

## Properties
Final energy: -53.6 eV per cell
Space-group type: Immm (71)


Entry 4:
Here is DyHoSnTe after structural relaxation from Alexandria via LeMat-Bulk. Energies are from PBE.

```
DyHoSnTe
1.0
4.378 0.000 0.000
2.189 3.791 0.000
2.189 1.264 7.194
Dy Ho Sn Te
1 1 1 1
direct
0.440 0.440 0.681 Dy
0.949 0.949 0.154 Ho
0.694 0.694 0.919 Sn
0.194 0.194 0.416 Te
```

## Properties
Final energy: -20.4 eV per cell
Raw formation energy: -1030 meV/atom
Space-group type: R3m (160)